The following is a DFT calculation (PBE with a Hubbard U) of Mo3PdO after structural relaxation.

Computed properties:
Symmetry   No. 221
Total DFT energy (no corrections)   -4.26 eV per atom
Volume   28.318 A^3/atom

```
Mo3PdO
1.0
5.2120 0.0000 0.0000
0.0000 5.2120 0.0000
0.0000 0.0000 5.2120
Mo O Pd
3 1 1
direct
0.0000 0.0000 0.5000
0.0000 0.5000 0.0000
0.5000 0.0000 0.0000
0.5000 0.5000 0.5000
0.0000 0.0000 0.0000
```